# Ir2PtW

A geometry-optimized Ir2PtW structure (GGA-PBE, Alexandria via LeMat-Bulk).

Cell and atoms, written as POSCAR:
```
Ir2PtW
1.0
3.9501 0.0000 0.0000
0.0000 3.9501 0.0000
0.0000 0.0000 7.7257
Ir Pt W
4 2 2
Direct
0.0000 0.5000 0.2500
0.0000 0.5000 0.7500
0.5000 0.0000 0.2500
0.5000 0.0000 0.7500
0.0000 0.0000 0.0000
0.5000 0.5000 0.5000
0.0000 0.0000 0.5000
0.5000 0.5000 0.0000
```

## Properties
The magnetization comes out at 0.0 μB/f.u. For the formation energy, the calculation gives -0.236 eV per atom. As for the calculated volume: 15.07 A^3/atom. For the density, the calculation gives 21031 kg/m³.